(1)
{"formula": "PmPrPAu", "functional": "PBE-GGA", "state": "relaxed", "cell": [[0.0000, 3.6477, 3.6477], [3.6477, 0.0000, 3.6477], [3.6477, 3.6477, 0.0000]], "species": ["Pm", "Pr", "P", "Au"], "frac_coords": [[0.0000, 0.0000, 0.0000], [0.5000, 0.5000, 0.5000], [0.7500, 0.7500, 0.7500], [0.2500, 0.2500, 0.2500]], "formation_enthalpy_0k_mev_per_atom": -839, "crystal_system": "cubic", "total_magnetization_mub_per_cell": 0.0, "dos_at_fermi_per_ev_atom": 1.100}

(2)
{"formula": "Li2TlCr", "functional": "PBE-GGA", "state": "relaxed", "cell": [[4.1545, 0.0000, 0.0000], [0.0000, 4.1545, 0.0000], [0.0000, 0.0000, 4.2660]], "species": ["Li", "Li", "Tl", "Cr"], "frac_coords": [[0.0000, 0.5000, 0.0000], [0.5000, 0.0000, 0.0000], [0.0000, 0.0000, 0.5000], [0.5000, 0.5000, 0.5000]], "formation_enthalpy_0k_mev_per_atom": 211, "crystal_system": "tetragonal", "total_magnetization_mub_per_cell": 4.1, "dos_at_fermi_per_ev_atom": 0.577}

(3)
{"formula": "ThPa5Sb6", "functional": "PBE-GGA", "state": "relaxed", "cell": [[3.7964, -6.5709, 0.0000], [3.7964, 6.5709, 0.0000], [-2.5272, 0.0000, 7.1667]], "species": ["Th", "Pa", "Pa", "Pa", "Pa", "Pa", "Sb", "Sb", "Sb", "Sb", "Sb", "Sb"], "frac_coords": [[0.0000, 0.0000, 0.0000], [0.1621, 0.8379, 0.5000], [0.3318, 0.6682, 0.0000], [0.5000, 0.5000, 0.5000], [0.6682, 0.3318, 0.0000], [0.8379, 0.1621, 0.5000], [0.0857, 0.4247, 0.2551], [0.2574, 0.2574, 0.7510], [0.4247, 0.0857, 0.2551], [0.5753, 0.9143, 0.7449], [0.7426, 0.7426, 0.2490], [0.9143, 0.5753, 0.7449]], "crystal_system": "monoclinic", "formation_energy_uncorrected_ev_per_fu": -6.1, "total_magnetization_mub_per_cell": 0.0, "dos_at_fermi_per_ev_atom": 1.597}

(4)
{"formula": "Nd12TlPd5", "functional": "PBE-GGA", "state": "relaxed", "cell": [[-4.8846, 5.0561, 5.3218], [4.8846, -5.0561, 5.3218], [4.8846, 5.0561, -5.3218]], "species": ["Nd", "Nd", "Nd", "Nd", "Nd", "Nd", "Nd", "Nd", "Nd", "Nd", "Nd", "Nd", "Tl", "Pd", "Pd", "Pd", "Pd", "Pd"], "frac_coords": [[0.0348, 0.2232, 0.8115], [0.1789, 0.2881, 0.4669], [0.1789, 0.7119, 0.8908], [0.3256, 0.0241, 0.6985], [0.3256, 0.6272, 0.3015], [0.4117, 0.2232, 0.1885], [0.5883, 0.7768, 0.8115], [0.6744, 0.3728, 0.6985], [0.6744, 0.9759, 0.3015], [0.8211, 0.2881, 0.1092], [0.8211, 0.7119, 0.5331], [0.9652, 0.7768, 0.1885], [0.5000, 0.5000, 0.0000], [0.0000, 0.0000, 0.0000], [0.1307, 0.6307, 0.5000], [0.3540, 0.0000, 0.3540], [0.6460, 0.0000, 0.6460], [0.8693, 0.3693, 0.5000]], "formation_enthalpy_0k_mev_per_atom": -484, "crystal_system": "orthorhombic", "total_magnetization_mub_per_cell": 0.0, "dos_at_fermi_per_ev_atom": 0.981}